Here is a relaxed Ho2Er6Zr crystal from Alexandria. Energies are from PBE.

a b c (Å): 5.8847 9.8703 9.8703
angles (deg): 70.20 83.77 83.77
Last column: nearest neighbours and their distance in Å.
Fractional positions:
Ho  0.4347  0.5719  0.7725  9 Er 3.35-3.61, 2 Ho 3.72
Ho  0.0653  0.2275  0.4281  9 Er 3.35-3.61, 2 Ho 3.72
Ho  0.5653  0.4281  0.2275  9 Er 3.35-3.61, 2 Ho 3.72
Ho  0.9347  0.7725  0.5719  9 Er 3.35-3.61, 2 Ho 3.72
Er  0.4882  0.6879  0.4108  4 Er 3.28-3.52, 1 Zr 3.29, 4 Ho 3.35-3.61
Er  0.0118  0.5892  0.3120  4 Er 3.28-3.52, 1 Zr 3.29, 4 Ho 3.35-3.61
Er  0.5118  0.3120  0.5892  4 Er 3.28-3.52, 1 Zr 3.29, 4 Ho 3.35-3.61
Er  0.9882  0.4108  0.6879  4 Er 3.28-3.52, 1 Zr 3.29, 4 Ho 3.35-3.61
Er  0.6458  0.0607  0.3469  4 Er 3.22-3.38, 1 Zr 3.29, 3 Ho 3.38-3.41
Er  0.8542  0.6531  0.9393  4 Er 3.22-3.38, 1 Zr 3.29, 3 Ho 3.38-3.41
Er  0.3542  0.9393  0.6531  4 Er 3.22-3.38, 1 Zr 3.29, 3 Ho 3.38-3.41
Er  0.1458  0.3469  0.0607  4 Er 3.22-3.38, 1 Zr 3.29, 3 Ho 3.38-3.41
Er  0.3160  0.7717  0.0144  2 Zr 3.14-3.27, 5 Er 3.32-3.44
Er  0.1840  0.9856  0.2283  2 Zr 3.14-3.27, 5 Er 3.32-3.44
Er  0.6840  0.2283  0.9856  2 Zr 3.14-3.27, 5 Er 3.32-3.44
Er  0.8160  0.0144  0.7717  2 Zr 3.14-3.27, 5 Er 3.32-3.44
Zr  0.2500  0.1097  0.8903  8 Er 3.14-3.29
Zr  0.7500  0.8903  0.1097  8 Er 3.14-3.29

Output
The value obtained for the size of the total moment is 0.000 μB/atom. Its energy relative to the lowest polymorph listed for this composition is 0.055 eV/atom. For the total energy, the calculation gives -4.888 eV/atom. The space group is C2/c, No. 15.

Here is a relaxed MgTePS2 crystal from Alexandria. Energies are from PBE.

a b c (Å): 4.7291 4.7291 4.9527
angles (deg): 90.00 90.00 90.00
Last column: nearest neighbours and their distance in Å.
Fractional positions:
P  0.0000  0.0000  0.5000  2 Mg 2.48
S  0.0000  0.5000  0.0000  2 Mg 2.36
S  0.5000  0.0000  0.0000  2 Mg 2.36
Te  0.5000  0.5000  0.5000  4 P 3.34, 8 S 3.42
Mg  0.0000  0.0000  0.0000  4 S 2.36, 2 P 2.48

Output
The value obtained for the size of the total moment is 0.000 μB/atom. The formation energy (no corrections) comes out at 485 meV per atom. Its energy relative to the lowest polymorph listed for this composition is 0.000 eV/atom. For the total energy, the calculation gives -3.195 eV/atom. The space group is P4/mmm, No. 123.

Here is a relaxed Ag2HgCl crystal from Alexandria. Energies are from PBE.

a b c (Å): 8.6857 8.6857 8.6857
angles (deg): 22.44 22.44 22.44
Last column: nearest neighbours and their distance in Å.
Fractional positions:
Hg  0.7500  0.7500  0.7500  6 Ag 2.96
Ag  0.9959  0.9959  0.9959  3 Cl 2.80, 3 Hg 2.96
Ag  0.5041  0.5041  0.5041  3 Cl 2.80, 3 Hg 2.96
Cl  0.2500  0.2500  0.2500  6 Ag 2.80

Output
The value obtained for the size of the total moment is 0.000 μB/atom. The formation energy (no corrections) comes out at -102 meV per atom. Its energy relative to the lowest polymorph listed for this composition is 0.047 eV/atom. For the total energy, the calculation gives -2.064 eV/atom. The space group is R-3m, No. 166.